1.
Density functional theory data (GGA-PBE) for a relaxed structure of RbAgN2F.

POSCAR file:
```
RbAgN2F
1.0
4.131 0.000 0.000
0.000 4.131 0.000
0.000 0.000 5.601
Rb Ag N F
1 1 2 1
Direct
0.000 0.000 0.000 Rb
0.500 0.500 0.500 Ag
0.000 0.500 0.500 N
0.500 0.000 0.500 N
0.500 0.500 0.000 F
```

Output
The energy above the most stable polymorph in this dataset comes out at 0 meV/atom. The crystal system is tetragonal. For the energy relative to the elements, uncorrected, the calculation gives 595.1 meV/atom. The value obtained for the total DFT energy (no corrections) is -3.873 eV per atom.

---

2.
Density functional theory data (GGA-PBE) for a relaxed structure of ReAgNF2.

POSCAR file:
```
ReAgNF2
1.0
4.168 0.000 0.000
0.000 4.168 0.000
0.000 0.000 4.353
Re Ag N F
1 1 1 2
Direct
0.000 0.000 0.000 Re
0.500 0.500 0.500 Ag
0.500 0.500 0.000 N
0.000 0.500 0.500 F
0.500 0.000 0.500 F
```

Output
The energy above the most stable polymorph in this dataset comes out at 1453 meV/atom. The crystal system is tetragonal. For the energy relative to the elements, uncorrected, the calculation gives 1041.9 meV/atom. The value obtained for the total DFT energy (no corrections) is -4.432 eV per atom.

---

3.
Density functional theory data (GGA-PBE) for a relaxed structure of ReAgNF2.

POSCAR file:
```
ReAgNF2
1.0
4.253 0.000 0.000
0.000 4.253 0.000
0.000 0.000 3.809
Re Ag N F
1 1 1 2
Direct
0.000 0.000 0.000 Re
0.500 0.500 0.500 Ag
0.000 0.000 0.500 N
0.000 0.500 0.000 F
0.500 0.000 0.000 F
```

Output
The energy above the most stable polymorph in this dataset comes out at 0 meV/atom. The crystal system is tetragonal. For the energy relative to the elements, uncorrected, the calculation gives -410.8 meV/atom. The value obtained for the total DFT energy (no corrections) is -5.884 eV per atom.

---

4.
Density functional theory data (GGA-PBE) for a relaxed structure of AgRhNF2.

POSCAR file:
```
AgRhNF2
1.0
4.404 0.000 0.000
0.000 4.404 0.000
0.000 0.000 3.660
Ag Rh N F
1 1 1 2
Direct
0.000 0.000 0.000 Ag
0.500 0.500 0.500 Rh
0.500 0.500 0.000 N
0.000 0.500 0.500 F
0.500 0.000 0.500 F
```

Output
The energy above the most stable polymorph in this dataset comes out at 0 meV/atom. The crystal system is tetragonal. For the energy relative to the elements, uncorrected, the calculation gives -315.1 meV/atom. The value obtained for the total DFT energy (no corrections) is -4.769 eV per atom.

---

5.
Density functional theory data (GGA-PBE) for a relaxed structure of AgRhNF2.

POSCAR file:
```
AgRhNF2
1.0
4.374 0.000 0.000
0.000 4.374 0.000
0.000 0.000 4.015
Ag Rh N F
1 1 1 2
Direct
0.000 0.000 0.000 Ag
0.500 0.500 0.500 Rh
0.000 0.000 0.500 N
0.000 0.500 0.000 F
0.500 0.000 0.000 F
```

Output
The energy above the most stable polymorph in this dataset comes out at 1025 meV/atom. The crystal system is tetragonal. For the energy relative to the elements, uncorrected, the calculation gives 709.5 meV/atom. The value obtained for the total DFT energy (no corrections) is -3.745 eV per atom.

---

6.
Density functional theory data (GGA-PBE) for a relaxed structure of AgRuN2F.

POSCAR file:
```
AgRuN2F
1.0
3.810 0.000 0.000
0.000 3.810 0.000
0.000 0.000 4.435
Ag Ru N F
1 1 2 1
Direct
0.000 0.000 0.000 Ag
0.500 0.500 0.500 Ru
0.000 0.500 0.500 N
0.500 0.000 0.500 N
0.500 0.500 0.000 F
```

Output
The energy above the most stable polymorph in this dataset comes out at 0 meV/atom. The crystal system is tetragonal. For the energy relative to the elements, uncorrected, the calculation gives 415.9 meV/atom. The value obtained for the total DFT energy (no corrections) is -5.714 eV per atom.

---

7.
Density functional theory data (GGA-PBE) for a relaxed structure of Ag2RuNF.

POSCAR file:
```
Ag2RuNF
1.0
4.651 0.000 0.000
0.000 4.651 0.000
0.000 0.000 4.054
Ag Ru N F
2 1 1 1
Direct
0.000 0.500 0.000 Ag
0.500 0.000 0.000 Ag
0.000 0.000 0.500 Ru
0.500 0.500 0.500 N
0.000 0.000 0.000 F
```

Output
The crystal system is tetragonal. For the energy relative to the elements, uncorrected, the calculation gives 1467.3 meV/atom. The value obtained for the total DFT energy (no corrections) is -3.568 eV per atom.

---

8.
Density functional theory data (GGA-PBE) for a relaxed structure of AgRuN2F.

POSCAR file:
```
AgRuN2F
1.0
4.065 0.000 0.000
0.000 4.065 0.000
0.000 0.000 4.101
Ag Ru N F
1 1 2 1
Direct
0.000 0.000 0.000 Ag
0.500 0.500 0.500 Ru
0.000 0.500 0.000 N
0.500 0.000 0.000 N
0.000 0.000 0.500 F
```

Output
The energy above the most stable polymorph in this dataset comes out at 1425 meV/atom. The crystal system is tetragonal. For the energy relative to the elements, uncorrected, the calculation gives 1840.8 meV/atom. The value obtained for the total DFT energy (no corrections) is -4.289 eV per atom.

---

9.
Density functional theory data (GGA-PBE) for a relaxed structure of AgSN2F.

POSCAR file:
```
AgSN2F
1.0
4.218 0.000 0.000
0.000 4.218 0.000
0.000 0.000 4.209
Ag S N F
1 1 2 1
Direct
0.000 0.000 0.000 Ag
0.500 0.500 0.500 S
0.000 0.500 0.000 N
0.500 0.000 0.000 N
0.000 0.000 0.500 F
```

Output
The energy above the most stable polymorph in this dataset comes out at 876 meV/atom. The crystal system is tetragonal. For the energy relative to the elements, uncorrected, the calculation gives 1779.3 meV/atom. The value obtained for the total DFT energy (no corrections) is -3.321 eV per atom.

---

10.
Density functional theory data (GGA-PBE) for a relaxed structure of AgS2NF.

POSCAR file:
```
AgS2NF
1.0
4.256 0.000 0.000
0.000 4.256 0.000
0.000 0.000 4.777
Ag S N F
1 2 1 1
Direct
0.000 0.000 0.000 Ag
0.000 0.500 0.500 S
0.500 0.000 0.500 S
0.500 0.500 0.000 N
0.500 0.500 0.500 F
```

Output
The energy above the most stable polymorph in this dataset comes out at 54 meV/atom. The crystal system is tetragonal. For the energy relative to the elements, uncorrected, the calculation gives 1465.3 meV/atom. The value obtained for the total DFT energy (no corrections) is -2.795 eV per atom.

---

11.
Density functional theory data (GGA-PBE) for a relaxed structure of AgSN2F.

POSCAR file:
```
AgSN2F
1.0
3.706 0.000 0.000
0.000 3.706 0.000
0.000 0.000 5.951
Ag S N F
1 1 2 1
Direct
0.000 0.000 0.000 Ag
0.500 0.500 0.000 S
0.000 0.500 0.500 N
0.500 0.000 0.500 N
0.500 0.500 0.500 F
```

Output
The energy above the most stable polymorph in this dataset comes out at 1227 meV/atom. The crystal system is tetragonal. For the energy relative to the elements, uncorrected, the calculation gives 2130.7 meV/atom. The value obtained for the total DFT energy (no corrections) is -2.969 eV per atom.

---

12.
Density functional theory data (GGA-PBE) for a relaxed structure of AgSN2F.

POSCAR file:
```
AgSN2F
1.0
4.138 0.000 0.000
0.000 4.138 0.000
0.000 0.000 5.238
Ag S N F
1 1 2 1
Direct
0.000 0.000 0.000 Ag
0.000 0.000 0.500 S
0.000 0.500 0.000 N
0.500 0.000 0.000 N
0.500 0.500 0.500 F
```

Output
The energy above the most stable polymorph in this dataset comes out at 993 meV/atom. The crystal system is tetragonal. For the energy relative to the elements, uncorrected, the calculation gives 1896.4 meV/atom. The value obtained for the total DFT energy (no corrections) is -3.204 eV per atom.